(1)
# TbSm7Ho4 PBE-GGA optimized geometry
# - E: -4.40 eV/atom
data_TbSm7Ho4
_cell_length_a 12.043
_cell_length_b 5.969
_cell_length_c 12.731
_cell_angle_alpha 90.00
_cell_angle_beta 118.16
_cell_angle_gamma 90.00
_space_group_name_H-M_alt 'C 1 2/m 1'
_space_group_IT_number 12
loop_
_space_group_symop_operation_xyz
'x,y,z'
'-x,-y,-z'
'-x,y,-z'
'x,-y,z'
'x+1/2,y+1/2,z'
'-x+1/2,-y+1/2,-z'
'-x+1/2,y+1/2,-z'
'x+1/2,-y+1/2,z'
loop_
_atom_site_label
_atom_site_type_symbol
_atom_site_fract_x
_atom_site_fract_y
_atom_site_fract_z
Tb1 Tb 0.000 0.000 0.000
Sm1 Sm 0.000 0.500 0.000
Sm2 Sm 0.130 0.000 0.499
Sm3 Sm 0.210 0.500 0.921
Sm4 Sm 0.239 0.500 0.678
Ho1 Ho 0.064 0.500 0.319
Ho2 Ho 0.136 0.000 0.776

***

(2)
# Tb5Sm4Ho3 PBE-GGA optimized geometry
# - E: -4.63 eV/atom
data_Tb5Sm4Ho3
_cell_length_a 6.188
_cell_length_b 7.145
_cell_length_c 8.745
_cell_angle_alpha 90.07
_cell_angle_beta 90.07
_cell_angle_gamma 90.13
_space_group_name_H-M_alt 'P -1'
_space_group_IT_number 2
loop_
_space_group_symop_operation_xyz
'x,y,z'
'-x,-y,-z'
loop_
_atom_site_label
_atom_site_type_symbol
_atom_site_fract_x
_atom_site_fract_y
_atom_site_fract_z
Tb1 Tb 0.000 0.000 0.000
Tb2 Tb 0.333 0.500 0.333
Tb3 Tb 0.499 0.251 0.000
Sm1 Sm 0.166 0.749 0.668
Sm2 Sm 0.333 0.000 0.332
Ho1 Ho 0.000 0.500 0.000
Ho2 Ho 0.167 0.251 0.668

***

(3)
# TbSmHo2 PBE-GGA optimized geometry
# - E: -4.49 eV/atom
data_TbSmHo2
_cell_length_a 8.024
_cell_length_b 8.024
_cell_length_c 8.024
_cell_angle_alpha 90.00
_cell_angle_beta 90.00
_cell_angle_gamma 90.00
_space_group_name_H-M_alt 'F m -3 m'
_space_group_IT_number 225
_space_group_name_Hall '-F 4 2 3'
loop_
_atom_site_label
_atom_site_type_symbol
_atom_site_fract_x
_atom_site_fract_y
_atom_site_fract_z
Tb1 Tb 0.000 0.000 0.000
Sm1 Sm 0.000 0.000 0.500
Ho1 Ho 0.250 0.250 0.250

***

(4)
# Tb2Sm3Ho PBE-GGA optimized geometry
# - E: -4.66 eV/atom
data_Tb2Sm3Ho
_cell_length_a 6.2397
_cell_length_b 6.2397
_cell_length_c 11.6123
_cell_angle_alpha 90.00
_cell_angle_beta 90.00
_cell_angle_gamma 120.00
_space_group_name_H-M_alt 'P 63/m c m'
_space_group_IT_number 193
_space_group_name_Hall '-P 6c 2'
loop_
_atom_site_label
_atom_site_type_symbol
_atom_site_fract_x
_atom_site_fract_y
_atom_site_fract_z
Tb1 Tb 0.3333 0.6667 0.0000
Sm1 Sm 0.0000 0.3322 0.2500
Ho1 Ho 0.0000 0.0000 0.0000